# SrMg5Ge3, relaxed, DFT GGA-PBE
data_SrMg5Ge3
_chemical_formula_sum 'Sr4 Mg20 Ge12'
_cell_length_a 4.438
_cell_length_b 14.725
_cell_length_c 12.940
_cell_angle_alpha 90.00
_cell_angle_beta 90.00
_cell_angle_gamma 90.00
_symmetry_space_group_name_H-M 'C m c m'
_symmetry_Int_Tables_number 63
_symmetry_space_group_name_Hall '-C 2c 2'
loop_
_atom_site_label
_atom_site_type_symbol
_atom_site_fract_x
_atom_site_fract_y
_atom_site_fract_z
_atom_site_occupancy
Sr1 Sr 0.000 0.142 0.250 1
Mg1 Mg 0.000 0.000 0.000 1
Mg2 Mg 0.000 0.195 0.565 1
Mg3 Mg 0.000 0.448 0.140 1
Ge1 Ge 0.000 0.096 0.750 1
Ge2 Ge 0.000 0.377 0.556 1
# Magnetic moment, μB per cell: 0.000
# E_tot, eV/atom: -2.930